(1)
CsBeP: optimized geometry, PBE.

* E_tot: -22.0 eV per cell
* symmetry: P-1, No. 2
* energy relative to the elements: -0.33 eV/atom
* ρ: 2.732 g/cm³

a b c (Å): 4.9975 5.7189 7.8887
angles (deg): 111.23 90.09 90.02
Sites, in units of the cell vectors:
1 Cs 0.2491 0.3566 0.2125
2 Cs 0.7509 0.6434 0.7875
3 Be 0.0000 0.0000 0.5000
4 Be 0.5000 0.0000 0.5000
5 P 0.2505 0.1052 0.7116
6 P 0.7495 0.8948 0.2884

---

(2)
CsBe3P: optimized geometry, PBE.

* E_tot: -12.0 eV per cell
* symmetry: Pm-3m, No. 221
* energy relative to the elements: 1.09 eV/atom
* energy above the most stable polymorph in this dataset: 0.0 kJ/mol of atoms
* ρ: 3.169 g/cm³

a b c (Å): 4.6422 4.6422 4.6422
angles (deg): 90.00 90.00 90.00
Sites, in units of the cell vectors:
1 Cs 0.0000 0.0000 0.0000
2 Be 0.0000 0.5000 0.5000
3 Be 0.5000 0.0000 0.5000
4 Be 0.5000 0.5000 0.0000
5 P 0.5000 0.5000 0.5000

---

(3)
CsBeP: optimized geometry, PBE.

* E_tot: -22.0 eV per cell
* symmetry: P2_1/m, No. 11
* energy relative to the elements: -0.34 eV/atom
* ρ: 3.041 g/cm³

a b c (Å): 3.8631 3.8673 12.6481
angles (deg): 90.00 92.29 90.00
Sites, in units of the cell vectors:
1 Cs 0.2167 0.2500 0.2462
2 Cs 0.7833 0.7500 0.7538
3 Be 0.2496 0.7500 0.5002
4 Be 0.7504 0.2500 0.4998
5 P 0.2628 0.2500 0.5956
6 P 0.7372 0.7500 0.4044

---

(4)
CsBeP: optimized geometry, PBE.

* E_tot: -10.7 eV per cell
* symmetry: R3m, No. 160
* energy relative to the elements: -0.22 eV/atom
* ρ: 3.676 g/cm³

a b c (Å): 6.6202 6.6202 6.6202
angles (deg): 33.35 33.35 33.35
Sites, in units of the cell vectors:
1 Cs 0.0000 0.0000 0.0000
2 Be 0.4851 0.4851 0.4851
3 P 0.8137 0.8137 0.8137

---

(5)
CsBeP: optimized geometry, PBE.

* E_tot: -45.1 eV per cell
* symmetry: Pnma, No. 62
* energy relative to the elements: -0.43 eV/atom
* ρ: 3.294 g/cm³

a b c (Å): 10.9335 3.7938 8.4052
angles (deg): 90.00 90.00 90.00
Sites, in units of the cell vectors:
1 Cs 0.1897 0.2500 0.0513
2 Cs 0.3103 0.7500 0.5513
3 Cs 0.6897 0.2500 0.4487
4 Cs 0.8103 0.7500 0.9487
5 Be 0.0050 0.2500 0.4309
6 Be 0.4950 0.7500 0.9309
7 Be 0.5050 0.2500 0.0691
8 Be 0.9950 0.7500 0.5691
9 P 0.0058 0.2500 0.6872
10 P 0.4942 0.7500 0.1872
11 P 0.5058 0.2500 0.8128
12 P 0.9942 0.7500 0.3128

---

(6)
CsBeP: optimized geometry, PBE.

* E_tot: -45.1 eV per cell
* symmetry: Pnma, No. 62
* energy relative to the elements: -0.43 eV/atom
* ρ: 3.318 g/cm³

a b c (Å): 8.1692 3.7995 11.1496
angles (deg): 90.00 90.00 90.00
Sites, in units of the cell vectors:
1 Cs 0.0021 0.2500 0.1862
2 Cs 0.4979 0.7500 0.6862
3 Cs 0.5021 0.2500 0.3138
4 Cs 0.9979 0.7500 0.8138
5 Be 0.0721 0.7500 0.5058
6 Be 0.4279 0.2500 0.0058
7 Be 0.5721 0.7500 0.9942
8 Be 0.9279 0.2500 0.4942
9 P 0.1829 0.2500 0.5437
10 P 0.3171 0.7500 0.0437
11 P 0.6829 0.2500 0.9563
12 P 0.8171 0.7500 0.4563

---

(7)
Cs2BeP: optimized geometry, PBE.

* E_tot: -7.9 eV per cell
* symmetry: Fm-3m, No. 225
* energy relative to the elements: 0.75 eV/atom
* ρ: 3.246 g/cm³

a b c (Å): 6.0479 6.0479 6.0479
angles (deg): 60.00 60.00 60.00
Sites, in units of the cell vectors:
1 Cs 0.2500 0.2500 0.2500
2 Cs 0.7500 0.7500 0.7500
3 Be 0.0000 0.0000 0.0000
4 P 0.5000 0.5000 0.5000

---

(8)
CsBeP: optimized geometry, PBE.

* E_tot: -10.4 eV per cell
* symmetry: P1, No. 1
* energy relative to the elements: -0.13 eV/atom
* ρ: 2.395 g/cm³

a b c (Å): 3.8501 5.7286 6.4253
angles (deg): 116.32 107.26 90.01
Sites, in units of the cell vectors:
1 Cs 0.0000 0.0000 0.0000
2 Be 0.8143 0.3145 0.6270
3 P 0.3487 0.3489 0.6962